1.
{
  "formula": "Y4CrTe",
  "functional": "PBE-GGA",
  "state": "optimized geometry",
  "cell": [[0.000, 4.498, 4.498], [4.498, 0.000, 4.498], [4.498, 4.498, 0.000]],
  "species": ["Y", "Te", "Cr", "Y", "Y", "Y"],
  "frac_coords": [[0.376, 0.873, 0.376], [0.000, 0.000, 0.000], [0.750, 0.750, 0.750], [0.376, 0.376, 0.376], [0.873, 0.376, 0.376], [0.376, 0.376, 0.873]],
  "raw_formation_energy_ev_per_fu": 2.856,
  "magmom_total_mub_per_atom": 0.86,
  "n_ef_per_ev_cell": 8.644,
  "spacegroup": "F-43m, No. 216",
  "final_energy_ry_per_atom": -0.4381
}

2.
{
  "formula": "YCrTe2",
  "functional": "PBE-GGA",
  "state": "optimized geometry",
  "cell": [[-2.081, 3.115, 3.743], [2.163, 0.142, 4.831], [2.612, 4.317, 1.606]],
  "species": ["Cr", "Te", "Y", "Te"],
  "frac_coords": [[0.500, 0.500, 0.500], [0.000, 0.000, 0.000], [0.250, 0.250, 0.250], [0.750, 0.750, 0.750]],
  "raw_formation_energy_ev_per_fu": -0.035,
  "polymorph_energy_mev_per_atom": 698,
  "magmom_total_mub_per_atom": 1.23,
  "n_ef_per_ev_cell": 1.504,
  "spacegroup": "F-43m, No. 216",
  "final_energy_ry_per_atom": -0.4117
}

3.
{
  "formula": "Y2Cr2Te",
  "functional": "PBE-GGA",
  "state": "optimized geometry",
  "cell": [[-0.526, 4.937, -2.747], [0.565, -2.699, -4.959], [-3.861, 0.613, -4.020]],
  "species": ["Y", "Y", "Cr", "Cr", "Te"],
  "frac_coords": [[0.750, 0.250, 0.500], [0.250, 0.750, 0.500], [0.660, 0.660, 0.680], [0.340, 0.340, 0.320], [0.000, 0.000, 0.000]],
  "raw_formation_energy_ev_per_fu": 2.213,
  "polymorph_energy_mev_per_atom": 467,
  "magmom_total_mub_per_atom": 1.33,
  "n_ef_per_ev_cell": 5.159,
  "spacegroup": "I4/mmm, No. 139",
  "final_energy_ry_per_atom": -0.4866
}

4.
{
  "formula": "Y2CrTe",
  "functional": "PBE-GGA",
  "state": "optimized geometry",
  "cell": [[-1.512, 3.895, 1.536], [-2.424, 0.312, -3.179], [-5.328, -2.573, 1.280]],
  "species": ["Y", "Te", "Cr", "Y"],
  "frac_coords": [[0.000, 0.972, 0.931], [0.500, 0.552, 0.771], [0.000, 0.706, 0.463], [0.500, 0.270, 0.335]],
  "raw_formation_energy_ev_per_fu": -1.770,
  "polymorph_energy_mev_per_atom": 0,
  "magmom_total_mub_per_atom": 0.74,
  "n_ef_per_ev_cell": 2.456,
  "spacegroup": "Amm2, No. 38",
  "final_energy_ry_per_atom": -0.5046
}

5.
{
  "formula": "YCr3Te",
  "functional": "PBE-GGA",
  "state": "optimized geometry",
  "cell": [[-1.345, -4.834, -0.565], [0.942, -0.834, 4.890], [-4.775, 1.197, 1.124]],
  "species": ["Cr", "Te", "Cr", "Y", "Cr"],
  "frac_coords": [[0.000, 0.000, 0.500], [0.000, 0.000, 0.000], [0.500, 0.000, 0.000], [0.500, 0.500, 0.500], [0.000, 0.500, 0.000]],
  "raw_formation_energy_ev_per_fu": 4.846,
  "polymorph_energy_mev_per_atom": 0,
  "magmom_total_mub_per_atom": 2.22,
  "n_ef_per_ev_cell": 8.431,
  "spacegroup": "Pm-3m, No. 221",
  "final_energy_ry_per_atom": -0.4943
}

6.
{
  "formula": "YCrTe2",
  "functional": "PBE-GGA",
  "state": "optimized geometry",
  "cell": [[-4.001, -0.987, -3.084], [1.790, -4.759, -0.799], [-1.978, -1.241, 2.965]],
  "species": ["Te", "Te", "Y", "Cr"],
  "frac_coords": [[0.500, 0.500, 0.000], [0.000, 0.000, 0.000], [0.500, 0.000, 0.500], [0.000, 0.500, 0.500]],
  "raw_formation_energy_ev_per_fu": -1.982,
  "polymorph_energy_mev_per_atom": 211,
  "magmom_total_mub_per_atom": 1.10,
  "n_ef_per_ev_cell": 1.845,
  "spacegroup": "P4/mmm, No. 123",
  "final_energy_ry_per_atom": -0.4475
}

7.
{
  "formula": "YCrTe3",
  "functional": "PBE-GGA",
  "state": "optimized geometry",
  "cell": [[-1.721, -3.234, 4.497], [-1.858, -4.099, -3.659], [5.218, -2.526, 0.181]],
  "species": ["Y", "Te", "Cr", "Te", "Te"],
  "frac_coords": [[0.000, 0.000, 0.000], [0.000, 0.000, 0.500], [0.500, 0.500, 0.500], [0.000, 0.500, 0.000], [0.500, 0.000, 0.000]],
  "raw_formation_energy_ev_per_fu": 0.921,
  "polymorph_energy_mev_per_atom": 404,
  "magmom_total_mub_per_atom": 0.76,
  "n_ef_per_ev_cell": 5.702,
  "spacegroup": "Pm-3m, No. 221",
  "final_energy_ry_per_atom": -0.3615
}

8.
{
  "formula": "YCrTe2",
  "functional": "PBE-GGA",
  "state": "optimized geometry",
  "cell": [[4.252, 0.000, 0.000], [0.000, 4.255, 0.000], [0.000, 0.000, 6.077]],
  "species": ["Te", "Y", "Cr", "Te"],
  "frac_coords": [[0.000, 0.000, 0.898], [0.000, 0.000, 0.414], [0.500, 0.500, 0.838], [0.500, 0.500, 0.350]],
  "raw_formation_energy_ev_per_fu": -2.671,
  "polymorph_energy_mev_per_atom": 39,
  "magmom_total_mub_per_atom": 1.10,
  "n_ef_per_ev_cell": 1.175,
  "spacegroup": "P4mm, No. 99",
  "final_energy_ry_per_atom": -0.4601
}